A relaxed structure of CsV2B2O6. Source: Alexandria, functional PBE+U.

Output
- Mass density: 4.08 g/cm³
- Calculated total energy: -7.304 eV per atom
- Spin magnetization: 0.45 μB/atom

Lattice parameters (Å, degrees): 10.4531 5.6314 5.6308 90.00 120.19 90.00
Last column: nearest neighbours and their distance in Å.
Space group C2/m (No. 12)
Unique sites:
Cs: 0.0000 0.0000 0.0000 [2 per cell]  8 O 3.08-3.11, 2 B 3.22, 4 V 3.35
V: 0.1786 0.5000 0.3166 [4 per cell]  6 O 2.12-2.30
B: 0.1463 0.5000 0.7343 [4 per cell]  3 O 1.37-1.40
O: 0.0743 0.5000 0.8811 [4 per cell]  1 B 1.37
O: 0.1830 0.2933 0.6429 [8 per cell]  1 B 1.40